A plane-wave DFT calculation with GGA-PBE was carried out for a relaxed Sb3AuS crystal.

Calculated values
For the total moment, the calculation gives 0.00 μB per formula unit. The calculation puts the density of states at the Fermi level at 7.36 states/eV/cell. The value obtained for the formation energy without anion corrections is 0.8427 eV/atom. The uncorrected energy comes out at -3.11 eV/atom.

The structure in POSCAR format:
```
Sb3AuS
1.0
5.368 0.000 0.000
0.000 5.368 0.000
0.000 0.000 5.368
Sb Au S
3 1 1
direct
0.000 0.000 0.500
0.000 0.500 0.000
0.500 0.000 0.000
0.000 0.000 0.000
0.500 0.500 0.500
```